Density functional theory data (PBE+U) for a geometry-optimized NaNiO2 structure.

Output
The calculation puts the electronic total energy at -16.89 eV per cell. The total magnetic moment is 1.9 μB/cell. Its crystal system is tetragonal.

```
NaNiO2
1.0
3.718 0.000 0.000
0.000 3.718 0.000
0.000 0.000 3.384
Na Ni O
1 1 2
Cartesian
0.000 0.000 0.000
1.859 1.859 1.692
0.000 1.859 1.692
1.859 0.000 1.692
```